Entry 1:
Density functional theory data (PBE) for crystalline YTaBeCd2 at its relaxed geometry.

Structure (CIF):
```
data_YTaBeCd2
_chemical_formula_sum 'Y1 Ta1 Be1 Cd2'
_cell_length_a 5.4048
_cell_length_b 5.4048
_cell_length_c 5.2420
_cell_angle_alpha 90.00
_cell_angle_beta 90.00
_cell_angle_gamma 90.00
_space_group_name_H-M_alt 'P 1'
_space_group_IT_number 1
_space_group_name_Hall 'P 1'
loop_
_atom_site_label
_atom_site_type_symbol
_atom_site_fract_x
_atom_site_fract_y
_atom_site_fract_z
Y1 Y 0.0000 0.0000 0.0000
Ta1 Ta 0.0000 0.0000 0.5000
Be1 Be 0.5000 0.5000 0.0000
Cd1 Cd 0.0000 0.5000 0.5000
Cd2 Cd 0.5000 0.0000 0.5000
```

Summary:
Symmetry: P4/mmm (123)
Calculated formation energy: 138 kJ per mole of atoms
Total DFT energy (no corrections): -3.348 eV per atom

---

Entry 2:
Density functional theory data (PBE) for crystalline Tb2BeCd at its relaxed geometry.

Structure (CIF):
```
data_Tb2BeCd
_chemical_formula_sum 'Tb2 Be1 Cd1'
_cell_length_a 10.7457
_cell_length_b 10.7457
_cell_length_c 10.7457
_cell_angle_alpha 18.18
_cell_angle_beta 18.18
_cell_angle_gamma 18.18
_space_group_name_H-M_alt 'P 1'
_space_group_IT_number 1
_space_group_name_Hall 'P 1'
loop_
_atom_site_label
_atom_site_type_symbol
_atom_site_fract_x
_atom_site_fract_y
_atom_site_fract_z
Tb1 Tb 0.1036 0.1036 0.1036
Tb2 Tb 0.8964 0.8964 0.8964
Be1 Be 0.5000 0.5000 0.5000
Cd1 Cd 0.0000 0.0000 0.0000
```

Summary:
Excess energy over the best structure of this formula in the dataset: 41.9 kJ per mole of atoms
Symmetry: R-3m (166)
Calculated formation energy: 31 kJ per mole of atoms
Total DFT energy (no corrections): -3.155 eV per atom

---

Entry 3:
Density functional theory data (PBE) for crystalline Tb2BeCd at its relaxed geometry.

Structure (CIF):
```
data_Tb2BeCd
_chemical_formula_sum 'Tb2 Be1 Cd1'
_cell_length_a 5.1158
_cell_length_b 5.1158
_cell_length_c 5.1158
_cell_angle_alpha 60.00
_cell_angle_beta 60.00
_cell_angle_gamma 60.00
_space_group_name_H-M_alt 'P 1'
_space_group_IT_number 1
_space_group_name_Hall 'P 1'
loop_
_atom_site_label
_atom_site_type_symbol
_atom_site_fract_x
_atom_site_fract_y
_atom_site_fract_z
Tb1 Tb 0.2500 0.2500 0.2500
Tb2 Tb 0.7500 0.7500 0.7500
Be1 Be 0.0000 0.0000 0.0000
Cd1 Cd 0.5000 0.5000 0.5000
```

Summary:
Excess energy over the best structure of this formula in the dataset: 7.8 kJ per mole of atoms
Symmetry: Fm-3m (225)
Calculated formation energy: -3 kJ per mole of atoms
Total DFT energy (no corrections): -3.508 eV per atom

---

Entry 4:
Density functional theory data (PBE) for crystalline Tb2BeCd at its relaxed geometry.

Structure (CIF):
```
data_Tb2BeCd
_chemical_formula_sum 'Tb2 Be1 Cd1'
_cell_length_a 3.4898
_cell_length_b 3.4898
_cell_length_c 7.5694
_cell_angle_alpha 90.00
_cell_angle_beta 90.00
_cell_angle_gamma 90.00
_space_group_name_H-M_alt 'P 1'
_space_group_IT_number 1
_space_group_name_Hall 'P 1'
loop_
_atom_site_label
_atom_site_type_symbol
_atom_site_fract_x
_atom_site_fract_y
_atom_site_fract_z
Tb1 Tb 0.0000 0.0000 0.2163
Tb2 Tb 0.0000 0.0000 0.7837
Be1 Be 0.5000 0.5000 0.0000
Cd1 Cd 0.5000 0.5000 0.5000
```

Summary:
Excess energy over the best structure of this formula in the dataset: 0.0 kJ per mole of atoms
Symmetry: P4/mmm (123)
Calculated formation energy: -11 kJ per mole of atoms
Total DFT energy (no corrections): -3.589 eV per atom

---

Entry 5:
Density functional theory data (PBE) for crystalline TbTmBeCd at its relaxed geometry.

Structure (CIF):
```
data_TbTmBeCd
_chemical_formula_sum 'Tb1 Tm1 Be1 Cd1'
_cell_length_a 5.0713
_cell_length_b 5.0713
_cell_length_c 5.0713
_cell_angle_alpha 60.00
_cell_angle_beta 60.00
_cell_angle_gamma 60.00
_space_group_name_H-M_alt 'P 1'
_space_group_IT_number 1
_space_group_name_Hall 'P 1'
loop_
_atom_site_label
_atom_site_type_symbol
_atom_site_fract_x
_atom_site_fract_y
_atom_site_fract_z
Tb1 Tb 0.0000 0.0000 0.0000
Tm1 Tm 0.5000 0.5000 0.5000
Be1 Be 0.2500 0.2500 0.2500
Cd1 Cd 0.7500 0.7500 0.7500
```

Summary:
Symmetry: F-43m (216)
Calculated formation energy: -4 kJ per mole of atoms
Total DFT energy (no corrections): -3.477 eV per atom

---

Entry 6:
Density functional theory data (PBE) for crystalline BeCdTc2 at its relaxed geometry.

Structure (CIF):
```
data_BeCdTc2
_chemical_formula_sum 'Be1 Cd1 Tc2'
_cell_length_a 5.0454
_cell_length_b 5.0454
_cell_length_c 5.0454
_cell_angle_alpha 137.03
_cell_angle_beta 137.03
_cell_angle_gamma 62.40
_space_group_name_H-M_alt 'P 1'
_space_group_IT_number 1
_space_group_name_Hall 'P 1'
loop_
_atom_site_label
_atom_site_type_symbol
_atom_site_fract_x
_atom_site_fract_y
_atom_site_fract_z
Be1 Be 0.0000 0.0000 0.0000
Cd1 Cd 0.5000 0.5000 0.0000
Tc1 Tc 0.2500 0.7500 0.5000
Tc2 Tc 0.7500 0.2500 0.5000
```

Summary:
Excess energy over the best structure of this formula in the dataset: 40.8 kJ per mole of atoms
Symmetry: I4/mmm (139)
Calculated formation energy: 47 kJ per mole of atoms
Total DFT energy (no corrections): -5.854 eV per atom

---

Entry 7:
Density functional theory data (PBE) for crystalline BeCd2Tc at its relaxed geometry.

Structure (CIF):
```
data_BeCd2Tc
_chemical_formula_sum 'Be1 Cd2 Tc1'
_cell_length_a 4.8293
_cell_length_b 4.8293
_cell_length_c 4.8293
_cell_angle_alpha 129.75
_cell_angle_beta 129.75
_cell_angle_gamma 73.81
_space_group_name_H-M_alt 'P 1'
_space_group_IT_number 1
_space_group_name_Hall 'P 1'
loop_
_atom_site_label
_atom_site_type_symbol
_atom_site_fract_x
_atom_site_fract_y
_atom_site_fract_z
Be1 Be 0.0000 0.0000 0.0000
Cd1 Cd 0.2500 0.7500 0.5000
Cd2 Cd 0.5000 0.5000 0.0000
Tc1 Tc 0.7500 0.2500 0.5000
```

Summary:
Symmetry: I-4m2 (119)
Calculated formation energy: 52 kJ per mole of atoms
Total DFT energy (no corrections): -3.439 eV per atom

---

Entry 8:
Density functional theory data (PBE) for crystalline BeCdTc2 at its relaxed geometry.

Structure (CIF):
```
data_BeCdTc2
_chemical_formula_sum 'Be1 Cd1 Tc2'
_cell_length_a 5.1588
_cell_length_b 5.1588
_cell_length_c 2.6754
_cell_angle_alpha 98.45
_cell_angle_beta 98.45
_cell_angle_gamma 119.26
_space_group_name_H-M_alt 'P 1'
_space_group_IT_number 1
_space_group_name_Hall 'P 1'
loop_
_atom_site_label
_atom_site_type_symbol
_atom_site_fract_x
_atom_site_fract_y
_atom_site_fract_z
Be1 Be 0.0000 0.0000 0.0000
Cd1 Cd 0.5000 0.5000 0.0000
Tc1 Tc 0.0000 0.5000 0.5000
Tc2 Tc 0.5000 0.0000 0.5000
```

Summary:
Excess energy over the best structure of this formula in the dataset: 40.5 kJ per mole of atoms
Symmetry: C2/m (12)
Calculated formation energy: 47 kJ per mole of atoms
Total DFT energy (no corrections): -5.857 eV per atom

---

Entry 9:
Density functional theory data (PBE) for crystalline BeCdTc2 at its relaxed geometry.

Structure (CIF):
```
data_BeCdTc2
_chemical_formula_sum 'Be1 Cd1 Tc2'
_cell_length_a 4.3452
_cell_length_b 4.3452
_cell_length_c 4.3452
_cell_angle_alpha 60.00
_cell_angle_beta 60.00
_cell_angle_gamma 60.00
_space_group_name_H-M_alt 'P 1'
_space_group_IT_number 1
_space_group_name_Hall 'P 1'
loop_
_atom_site_label
_atom_site_type_symbol
_atom_site_fract_x
_atom_site_fract_y
_atom_site_fract_z
Be1 Be 0.0000 0.0000 0.0000
Cd1 Cd 0.5000 0.5000 0.5000
Tc1 Tc 0.2500 0.2500 0.2500
Tc2 Tc 0.7500 0.7500 0.7500
```

Summary:
Excess energy over the best structure of this formula in the dataset: 57.4 kJ per mole of atoms
Symmetry: Fm-3m (225)
Calculated formation energy: 64 kJ per mole of atoms
Total DFT energy (no corrections): -5.682 eV per atom

---

Entry 10:
Density functional theory data (PBE) for crystalline BeCd2Tc at its relaxed geometry.

Structure (CIF):
```
data_BeCd2Tc
_chemical_formula_sum 'Be1 Cd2 Tc1'
_cell_length_a 2.8216
_cell_length_b 4.3894
_cell_length_c 5.3789
_cell_angle_alpha 90.00
_cell_angle_beta 104.93
_cell_angle_gamma 90.00
_space_group_name_H-M_alt 'P 1'
_space_group_IT_number 1
_space_group_name_Hall 'P 1'
loop_
_atom_site_label
_atom_site_type_symbol
_atom_site_fract_x
_atom_site_fract_y
_atom_site_fract_z
Be1 Be 0.0000 0.0000 0.0000
Cd1 Cd 0.3781 0.5000 0.2395
Cd2 Cd 0.6219 0.5000 0.7605
Tc1 Tc 0.0000 0.0000 0.5000
```

Summary:
Symmetry: P2/m (10)
Calculated formation energy: 47 kJ per mole of atoms
Total DFT energy (no corrections): -3.494 eV per atom

---

Entry 11:
Density functional theory data (PBE) for crystalline Be4CdTc at its relaxed geometry.

Structure (CIF):
```
data_Be4CdTc
_chemical_formula_sum 'Be4 Cd1 Tc1'
_cell_length_a 4.5213
_cell_length_b 4.5213
_cell_length_c 4.5213
_cell_angle_alpha 60.00
_cell_angle_beta 60.00
_cell_angle_gamma 60.00
_space_group_name_H-M_alt 'P 1'
_space_group_IT_number 1
_space_group_name_Hall 'P 1'
loop_
_atom_site_label
_atom_site_type_symbol
_atom_site_fract_x
_atom_site_fract_y
_atom_site_fract_z
Be1 Be 0.3786 0.3786 0.3786
Be2 Be 0.3786 0.3786 0.8642
Be3 Be 0.3786 0.8642 0.3786
Be4 Be 0.8642 0.3786 0.3786
Cd1 Cd 0.0000 0.0000 0.0000
Tc1 Tc 0.7500 0.7500 0.7500
```

Summary:
Symmetry: F-43m (216)
Calculated formation energy: 8 kJ per mole of atoms
Total DFT energy (no corrections): -4.279 eV per atom

---

Entry 12:
Density functional theory data (PBE) for crystalline BeCd2Tc at its relaxed geometry.

Structure (CIF):
```
data_BeCd2Tc
_chemical_formula_sum 'Be1 Cd2 Tc1'
_cell_length_a 2.8479
_cell_length_b 2.8479
_cell_length_c 7.9474
_cell_angle_alpha 90.00
_cell_angle_beta 90.00
_cell_angle_gamma 90.00
_space_group_name_H-M_alt 'P 1'
_space_group_IT_number 1
_space_group_name_Hall 'P 1'
loop_
_atom_site_label
_atom_site_type_symbol
_atom_site_fract_x
_atom_site_fract_y
_atom_site_fract_z
Be1 Be 0.0000 0.0000 0.0000
Cd1 Cd 0.5000 0.5000 0.2282
Cd2 Cd 0.5000 0.5000 0.7718
Tc1 Tc 0.0000 0.0000 0.5000
```

Summary:
Symmetry: P4/mmm (123)
Calculated formation energy: 54 kJ per mole of atoms
Total DFT energy (no corrections): -3.426 eV per atom

---

Q: What is the formula in the third record?
A: Tb2BeCd